VASP calculation (PBE) on crystalline PaZnNi5 at its relaxed geometry.

Lattice parameters (Å, degrees): 8.782 5.515 8.345 90.00 106.68 90.00
Space group C2/c (No. 15)
Symmetry-distinct sites (fractional):
Pa (0.000, 0.125, 0.250)
Zn (0.250, 0.250, 0.000)
Ni (0.000, 0.344, 0.750)
Ni (0.114, 0.364, 0.508)
Ni (0.248, 0.077, 0.718)

VASP calculation (PBE) on crystalline PaZn10Ni2 at its relaxed geometry.

Lattice parameters (Å, degrees): 8.805 10.236 8.679 90.00 90.00 90.00
Space group Cmcm (No. 63)
Symmetry-distinct sites (fractional):
Pa (0.000, 0.125, 0.250)
Zn (0.000, 0.153, 0.602)
Zn (0.000, 0.375, 0.042)
Zn (0.152, 0.374, 0.750)
Zn (0.226, 0.000, 0.000)
Zn (0.226, 0.369, 0.250)
Ni (0.250, 0.250, 0.000)

VASP calculation (PBE) on crystalline Pa2Zn2Ni3 at its relaxed geometry.

Lattice parameters (Å, degrees): 3.576 18.217 7.252 90.00 90.00 90.00
Space group Cmcm (No. 63)
Symmetry-distinct sites (fractional):
Pa (0.000, 0.055, 0.250)
Pa (0.000, 0.147, 0.750)
Zn (0.000, 0.311, 0.567)
Ni (0.000, 0.245, 0.250)
Ni (0.000, 0.439, 0.065)

- energy relative to the lowest polymorph listed for this composition (meV/atom) = 0

VASP calculation (PBE) on crystalline Pa2Zn3Ni2 at its relaxed geometry.

Lattice parameters (Å, degrees): 9.224 4.269 6.330 90.00 101.85 90.00
Space group C2/m (No. 12)
Symmetry-distinct sites (fractional):
Pa (0.113, 0.000, 0.369)
Zn (0.000, 0.500, 0.000)
Zn (0.213, 0.000, 0.878)
Ni (0.108, 0.500, 0.673)

Number 1: formation enthalpy at 0 K -224 meV/atom, electronic total energy -5.89 eV per atom. Number 2: formation enthalpy at 0 K -164 meV/atom, electronic total energy -2.76 eV per atom. Number 3: formation enthalpy at 0 K -315 meV/atom, electronic total energy -5.87 eV per atom. Number 4: formation enthalpy at 0 K -209 meV/atom, electronic total energy -5.12 eV per atom.